No. 1
# Nd8Er2Sc | the Alexandria database | PBE-GGA | optimized geometry
data_Nd8Er2Sc
_chemical_formula_sum 'Nd16 Er4 Sc2'
_space_group_name_H-M_alt 'C 1 2/m 1'
_space_group_IT_number 12
_space_group_name_Hall '-C 2y'
_cell_length_a 16.684
_cell_length_b 6.811
_cell_length_c 6.670
_cell_angle_alpha 90.00
_cell_angle_beta 101.71
_cell_angle_gamma 90.00
loop_
_atom_site_label
_atom_site_fract_x
_atom_site_fract_y
_atom_site_fract_z
_atom_site_occupancy
Nd1 0.081 0.242 0.389 1
Nd2 0.098 0.000 0.919 1
Nd3 0.247 0.500 0.334 1
Er1 0.185 0.500 0.813 1
Sc1 0.000 0.500 0.000 1
# ΔH_f (0 K) = 186.3 kJ/mol of formula units
# Magnetization = 0.000 μB/f.u.

No. 2
# NdErSc3 | the Alexandria database | PBE-GGA | optimized geometry
data_NdErSc3
_chemical_formula_sum 'Nd2 Er2 Sc6'
_space_group_name_H-M_alt 'P 1 21/m 1'
_space_group_IT_number 11
_space_group_name_Hall '-P 2yb'
_cell_length_a 5.936
_cell_length_b 5.412
_cell_length_c 9.129
_cell_angle_alpha 90.00
_cell_angle_beta 108.73
_cell_angle_gamma 90.00
loop_
_atom_site_label
_atom_site_fract_x
_atom_site_fract_y
_atom_site_fract_z
_atom_site_occupancy
Nd1 0.140 0.250 0.104 1
Er1 0.072 0.750 0.313 1
Sc1 0.270 0.750 0.698 1
Sc2 0.339 0.250 0.506 1
Sc3 0.475 0.750 0.104 1
# ΔH_f (0 K) = 19.8 kJ/mol of formula units
# Magnetization = 0.000 μB/f.u.

No. 3
# NdEr5Sc | the Alexandria database | PBE-GGA | optimized geometry
data_NdEr5Sc
_chemical_formula_sum 'Nd4 Er20 Sc4'
_space_group_name_H-M_alt 'C 1 2/c 1'
_space_group_IT_number 15
_space_group_name_Hall '-C 2yc'
_cell_length_a 10.906
_cell_length_b 12.515
_cell_length_c 6.894
_cell_angle_alpha 90.00
_cell_angle_beta 110.02
_cell_angle_gamma 90.00
loop_
_atom_site_label
_atom_site_fract_x
_atom_site_fract_y
_atom_site_fract_z
_atom_site_occupancy
Nd1 0.000 0.154 0.250 1
Er1 0.000 0.110 0.750 1
Er2 0.027 0.366 0.535 1
Er3 0.245 0.476 0.361 1
Sc1 0.250 0.250 0.000 1
# ΔH_f (0 K) = 143.2 kJ/mol of formula units
# Magnetization = 0.000 μB/f.u.

No. 4
# Nd2Er5Sc | the Alexandria database | PBE-GGA | optimized geometry
data_Nd2Er5Sc
_chemical_formula_sum 'Nd4 Er10 Sc2'
_space_group_name_H-M_alt 'P b a m'
_space_group_IT_number 55
_space_group_name_Hall '-P 2 2ab'
_cell_length_a 7.046
_cell_length_b 14.095
_cell_length_c 4.968
_cell_angle_alpha 90.00
_cell_angle_beta 90.00
_cell_angle_gamma 90.00
loop_
_atom_site_label
_atom_site_fract_x
_atom_site_fract_y
_atom_site_fract_z
_atom_site_occupancy
Nd1 0.245 0.123 0.000 1
Er1 0.000 0.500 0.500 1
Er2 0.004 0.752 0.500 1
Er3 0.248 0.376 0.000 1
Sc1 0.000 0.000 0.500 1
# ΔH_f (0 K) = 28.2 kJ/mol of formula units
# Magnetization = 0.001 μB/f.u.